The following is a PBE+U calculation of a relaxed structure of KWNF2, from the Alexandria database.

The structure in extended XYZ format:
```
5
Lattice="4.366 0.000 0.000 0.000 4.366 0.000 0.000 0.000 4.030" Properties=species:S:1:pos:R:3 pbc="T T T"
K 0.000 0.000 0.000
W 2.183 2.183 2.015
N 2.183 2.183 0.000
F 0.000 2.183 2.015
F 2.183 0.000 2.015
```

Computed properties:
DFT total energy = -5.577 eV/atom
crystal system = tetragonal
SG = P4/mmm
energy relative to the lowest polymorph listed for this composition = 0 meV per atom